Compound: CsLaCoSe3
Source: OQMD via LeMat-Bulk
Functional: GGA-PBE
Structure: optimized geometry

abc: 9.010 9.010 9.292
angles: 102.25 102.25 29.94
Positions (direct):
Cs 0.153 0.153 0.068
Cs 0.847 0.847 0.932
La 0.163 0.163 0.583
La 0.837 0.837 0.417
Co 0.495 0.495 0.746
Co 0.505 0.505 0.254
Se 0.000 0.000 0.500
Se 0.345 0.345 0.640
Se 0.363 0.363 0.226
Se 0.500 0.500 0.000
Se 0.637 0.637 0.774
Se 0.655 0.655 0.360

Results
Calculated volume (Å³/cell): 367
VASP energy (eV/atom): -4.845
Space group: C2/m

Compound: CsLaCoTe3
Source: OQMD via LeMat-Bulk
Functional: GGA-PBE
Structure: optimized geometry

abc: 8.830 8.830 12.119
angles: 90.00 90.00 150.49
Positions (direct):
Cs 0.240 0.760 0.750
Cs 0.760 0.240 0.250
La 0.500 0.500 0.000
La 0.500 0.500 0.500
Co 0.033 0.967 0.250
Co 0.967 0.033 0.750
Te 0.122 0.878 0.076
Te 0.122 0.878 0.424
Te 0.444 0.556 0.250
Te 0.556 0.444 0.750
Te 0.878 0.122 0.576
Te 0.878 0.122 0.924

Results
Calculated volume (Å³/cell): 465
Energy above the most stable polymorph in this dataset (kJ per mole of atoms): 0.0
Space group: Cmcm

Compound: CsLaCoTe3
Source: OQMD via LeMat-Bulk
Functional: GGA-PBE
Structure: optimized geometry

abc: 12.720 4.686 14.012
angles: 90.00 90.00 90.00
Positions (direct):
Cs 0.171 0.250 0.008
Cs 0.329 0.750 0.508
Cs 0.671 0.250 0.492
Cs 0.829 0.750 0.992
La 0.024 0.250 0.667
La 0.476 0.750 0.167
La 0.524 0.250 0.833
La 0.976 0.750 0.333
Co 0.241 0.250 0.298
Co 0.259 0.750 0.798
Co 0.741 0.250 0.202
Co 0.759 0.750 0.702
Te 0.059 0.750 0.821
Te 0.109 0.250 0.441
Te 0.213 0.750 0.222
Te 0.287 0.250 0.722
Te 0.391 0.750 0.941
Te 0.441 0.250 0.321
Te 0.559 0.750 0.679
Te 0.609 0.250 0.059
Te 0.713 0.750 0.278
Te 0.787 0.250 0.778
Te 0.891 0.750 0.559
Te 0.941 0.250 0.179

Results
Calculated volume (Å³/cell): 835
Energy above the most stable polymorph in this dataset (kJ per mole of atoms): 3.1
Space group: Pnma

Compound: CsLiCoRe
Source: OQMD via LeMat-Bulk
Functional: GGA-PBE
Structure: optimized geometry

abc: 6.616 6.616 6.616
angles: 90.00 90.00 90.00
Positions (direct):
Cs 0.000 0.000 0.000
Cs 0.000 0.500 0.500
Cs 0.500 0.000 0.500
Cs 0.500 0.500 0.000
Li 0.250 0.250 0.250
Li 0.250 0.750 0.750
Li 0.750 0.250 0.750
Li 0.750 0.750 0.250
Co 0.000 0.000 0.500
Co 0.000 0.500 0.000
Co 0.500 0.000 0.000
Co 0.500 0.500 0.500
Re 0.250 0.250 0.750
Re 0.250 0.750 0.250
Re 0.750 0.250 0.250
Re 0.750 0.750 0.750

Results
Calculated volume (Å³/cell): 290
Energy above the most stable polymorph in this dataset (kJ per mole of atoms): 0.0
Space group: F-43m

Compound: CsLiCoRe
Source: OQMD via LeMat-Bulk
Functional: GGA-PBE
Structure: optimized geometry

abc: 6.698 6.698 6.698
angles: 90.00 90.00 90.00
Positions (direct):
Cs 0.000 0.000 0.000
Cs 0.000 0.500 0.500
Cs 0.500 0.000 0.500
Cs 0.500 0.500 0.000
Li 0.000 0.000 0.500
Li 0.000 0.500 0.000
Li 0.500 0.000 0.000
Li 0.500 0.500 0.500
Co 0.250 0.250 0.250
Co 0.250 0.750 0.750
Co 0.750 0.250 0.750
Co 0.750 0.750 0.250
Re 0.250 0.250 0.750
Re 0.250 0.750 0.250
Re 0.750 0.250 0.250
Re 0.750 0.750 0.750

Results
Calculated volume (Å³/cell): 301
Energy above the most stable polymorph in this dataset (kJ per mole of atoms): 33.3
Space group: F-43m

Compound: CsLiCoTc
Source: OQMD via LeMat-Bulk
Functional: GGA-PBE
Structure: optimized geometry

abc: 6.646 6.646 6.646
angles: 90.00 90.00 90.00
Positions (direct):
Cs 0.000 0.000 0.000
Cs 0.000 0.500 0.500
Cs 0.500 0.000 0.500
Cs 0.500 0.500 0.000
Li 0.000 0.000 0.500
Li 0.000 0.500 0.000
Li 0.500 0.000 0.000
Li 0.500 0.500 0.500
Co 0.250 0.250 0.250
Co 0.250 0.750 0.750
Co 0.750 0.250 0.750
Co 0.750 0.750 0.250
Tc 0.250 0.250 0.750
Tc 0.250 0.750 0.250
Tc 0.750 0.250 0.250
Tc 0.750 0.750 0.750

Results
Calculated volume (Å³/cell): 294
Energy above the most stable polymorph in this dataset (kJ per mole of atoms): 25.6
Space group: F-43m